BeCd2I after structural relaxation, computed with GGA-PBE.

Cell: 7.0091 7.0091 7.0091 Å, 119.73 119.73 90.48°
Element x y z (fractional)
Be (0.0000, 0.0000, 0.0000)
Be (0.7500, 0.2500, 0.5000)
Cd (0.0459, 0.6250, 0.9209)
Cd (0.3750, 0.2959, 0.4209)
Cd (0.7041, 0.1250, 0.0791)
Cd (0.8750, 0.9541, 0.5791)
I (0.2500, 0.7500, 0.5000)
I (0.5000, 0.5000, 0.0000)

Computed properties:
SG: No. 122
E_form (uncorrected): 0.332 eV per atom
polymorph energy (0 for the lowest one): 0 meV per atom

=====

Be2CdI6 after structural relaxation, computed with GGA-PBE.

Cell: 10.8631 10.8631 6.8535 Å, 108.36 108.36 90.35°
Element x y z (fractional)
Be (0.1766, 0.3240, 0.1437)
Be (0.3240, 0.1766, 0.6437)
Be (0.6760, 0.8234, 0.3563)
Be (0.8234, 0.6760, 0.8563)
Cd (0.2497, 0.7503, 0.2500)
Cd (0.7503, 0.2497, 0.7500)
I (0.0398, 0.7506, 0.8768)
I (0.1784, 0.3230, 0.7880)
I (0.2493, 0.5405, 0.4138)
I (0.2494, 0.9602, 0.6232)
I (0.3230, 0.1784, 0.2880)
I (0.4595, 0.7507, 0.0862)
I (0.5405, 0.2493, 0.9138)
I (0.6770, 0.8216, 0.7120)
I (0.7506, 0.0398, 0.3768)
I (0.7507, 0.4595, 0.5862)
I (0.8216, 0.6770, 0.2120)
I (0.9602, 0.2494, 0.1232)

Computed properties:
SG: No. 15
E_form (uncorrected): -0.540 eV per atom

=====

BeCdI2N after structural relaxation, computed with GGA-PBE.

Cell: 6.8958 6.8958 3.0409 Å, 90.00 90.00 90.00°
Element x y z (fractional)
Be (0.0000, 0.0000, 0.0000)
Cd (0.5000, 0.5000, 0.5000)
I (0.0000, 0.5000, 0.0000)
I (0.5000, 0.0000, 0.0000)
N (0.0000, 0.0000, 0.5000)

Computed properties:
SG: No. 123
E_form (uncorrected): 0.249 eV per atom
polymorph energy (0 for the lowest one): 0 meV per atom

=====

BeCdI2N after structural relaxation, computed with GGA-PBE.

Cell: 6.0360 6.0360 4.2884 Å, 90.00 90.00 90.00°
Element x y z (fractional)
Be (0.0000, 0.0000, 0.0000)
Cd (0.5000, 0.5000, 0.5000)
I (0.0000, 0.5000, 0.5000)
I (0.5000, 0.0000, 0.5000)
N (0.5000, 0.5000, 0.0000)

Computed properties:
SG: No. 123
E_form (uncorrected): 1.181 eV per atom
polymorph energy (0 for the lowest one): 932 meV per atom

=====

BeCdIN2 after structural relaxation, computed with GGA-PBE.

Cell: 3.9630 3.9630 5.5919 Å, 90.00 90.00 90.00°
Element x y z (fractional)
Be (0.0000, 0.0000, 0.0000)
Cd (0.5000, 0.5000, 0.5000)
I (0.0000, 0.0000, 0.5000)
N (0.0000, 0.5000, 0.0000)
N (0.5000, 0.0000, 0.0000)

Computed properties:
SG: No. 123
E_form (uncorrected): 1.337 eV per atom
polymorph energy (0 for the lowest one): 0 meV per atom

=====

BeCdIN2 after structural relaxation, computed with GGA-PBE.

Cell: 4.1583 4.1583 7.6288 Å, 90.00 90.00 90.00°
Element x y z (fractional)
Be (0.0000, 0.0000, 0.0000)
Cd (0.5000, 0.5000, 0.5000)
I (0.5000, 0.5000, 0.0000)
N (0.0000, 0.5000, 0.5000)
N (0.5000, 0.0000, 0.5000)

Computed properties:
SG: No. 123
E_form (uncorrected): 1.914 eV per atom
polymorph energy (0 for the lowest one): 577 meV per atom

=====

BeCdIO2 after structural relaxation, computed with GGA-PBE.

Cell: 3.8540 3.8540 5.5471 Å, 90.00 90.00 90.00°
Element x y z (fractional)
Be (0.0000, 0.0000, 0.0000)
Cd (0.5000, 0.5000, 0.5000)
I (0.0000, 0.0000, 0.5000)
O (0.0000, 0.5000, 0.0000)
O (0.5000, 0.0000, 0.0000)

Computed properties:
SG: No. 123
E_form (uncorrected): -0.198 eV per atom
polymorph energy (0 for the lowest one): 0 meV per atom

=====

BeCdIO2 after structural relaxation, computed with GGA-PBE.

Cell: 4.0719 4.0719 6.8748 Å, 90.00 90.00 90.00°
Element x y z (fractional)
Be (0.0000, 0.0000, 0.0000)
Cd (0.5000, 0.5000, 0.5000)
I (0.5000, 0.5000, 0.0000)
O (0.0000, 0.5000, 0.5000)
O (0.5000, 0.0000, 0.5000)

Computed properties:
SG: No. 123
E_form (uncorrected): 0.431 eV per atom
polymorph energy (0 for the lowest one): 628 meV per atom

=====

BeCdI2O after structural relaxation, computed with GGA-PBE.

Cell: 6.8316 6.8316 2.9469 Å, 90.00 90.00 90.00°
Element x y z (fractional)
Be (0.0000, 0.0000, 0.0000)
Cd (0.5000, 0.5000, 0.5000)
I (0.0000, 0.5000, 0.0000)
I (0.5000, 0.0000, 0.0000)
O (0.0000, 0.0000, 0.5000)

Computed properties:
SG: No. 123
E_form (uncorrected): -0.773 eV per atom
polymorph energy (0 for the lowest one): 0 meV per atom

=====

BeCdI2O after structural relaxation, computed with GGA-PBE.

Cell: 5.9059 5.9059 4.0595 Å, 90.00 90.00 90.00°
Element x y z (fractional)
Be (0.0000, 0.0000, 0.0000)
Cd (0.5000, 0.5000, 0.5000)
I (0.0000, 0.5000, 0.5000)
I (0.5000, 0.0000, 0.5000)
O (0.5000, 0.5000, 0.0000)

Computed properties:
SG: No. 123
E_form (uncorrected): 0.506 eV per atom
polymorph energy (0 for the lowest one): 1278 meV per atom

=====

Be2CdRhI after structural relaxation, computed with GGA-PBE.

Cell: 4.3608 4.3608 5.5630 Å, 90.00 90.00 90.00°
Element x y z (fractional)
Be (0.0000, 0.5000, 0.0000)
Be (0.5000, 0.0000, 0.0000)
Cd (0.0000, 0.0000, 0.5000)
Rh (0.5000, 0.5000, 0.0000)
I (0.5000, 0.5000, 0.5000)

Computed properties:
SG: No. 123
E_form (uncorrected): 0.524 eV per atom

=====

BeCdSbI2 after structural relaxation, computed with GGA-PBE.

Cell: 5.2931 5.2931 5.1618 Å, 90.00 90.00 90.00°
Element x y z (fractional)
Be (0.0000, 0.0000, 0.0000)
Cd (0.5000, 0.5000, 0.5000)
Sb (0.0000, 0.0000, 0.5000)
I (0.0000, 0.5000, 0.0000)
I (0.5000, 0.0000, 0.0000)

Computed properties:
SG: No. 123
E_form (uncorrected): 0.315 eV per atom
polymorph energy (0 for the lowest one): 0 meV per atom